[1]
A plane-wave DFT calculation with GGA-PBE was carried out for Tb4DyAg5 after structural relaxation.

a = 3.630 Å, b = 3.630 Å, c = 18.234 Å
α = 90.00°, β = 90.00°, γ = 90.00°
Space group P4/mmm (No. 123)
Unique sites:
Tb  0.000  0.000  0.100 [2 per cell]
Tb  0.000  0.000  0.301 [2 per cell]
Dy  0.000  0.000  0.500 [1 per cell]
Ag  0.500  0.500  0.000 [1 per cell]
Ag  0.500  0.500  0.200 [2 per cell]
Ag  0.500  0.500  0.401 [2 per cell]

Calculated values
**Formation energy**: -3.28 eV/f.u.
**Calculated volume**: 240.3 Å³ per cell
**E_tot**: -40.52 eV per formula unit
**Crystal system**: tetragonal



[2]
A plane-wave DFT calculation with GGA-PBE was carried out for TbDyAg4 after structural relaxation.

a = 3.723 Å, b = 3.723 Å, c = 9.260 Å
α = 90.00°, β = 90.00°, γ = 90.00°
Space group P4/mmm (No. 123)
Unique sites:
Tb  0.000  0.000  0.000 [1 per cell]
Dy  0.500  0.500  0.500 [1 per cell]
Ag  0.000  0.000  0.330 [2 per cell]
Ag  0.500  0.500  0.170 [2 per cell]

Calculated values
**Formation energy**: -1.96 eV/f.u.
**Calculated volume**: 128.3 Å³ per cell
**E_tot**: -22.48 eV per formula unit
**Crystal system**: tetragonal



[3]
A plane-wave DFT calculation with GGA-PBE was carried out for TbDyAg2 after structural relaxation.

a = 4.772 Å, b = 3.717 Å, c = 11.024 Å
α = 90.00°, β = 90.00°, γ = 90.00°
Space group Amm2 (No. 38)
Unique sites:
Tb  0.000  0.000  0.000 [2 per cell]
Dy  0.500  0.000  0.714 [2 per cell]
Ag  0.000  0.000  0.277 [2 per cell]
Ag  0.500  0.000  0.436 [2 per cell]

Calculated values
**Formation energy**: -1.18 eV/f.u.
**Calculated volume**: 195.5 Å³ per cell
**E_tot**: -16.06 eV per formula unit
**Crystal system**: orthorhombic